Record 1
This record from Alexandria describes a relaxed structure of BaY2Hg. The functional is PBE-GGA.

Cell: 8.1197 8.1197 8.1197 Å, 90.00 90.00 90.00°
Positions (direct):
Ba (0.0000, 0.0000, 0.0000)
Ba (0.0000, 0.5000, 0.5000)
Ba (0.5000, 0.0000, 0.5000)
Ba (0.5000, 0.5000, 0.0000)
Y (0.0000, 0.0000, 0.5000)
Y (0.0000, 0.5000, 0.0000)
Y (0.2500, 0.2500, 0.7500)
Y (0.2500, 0.7500, 0.2500)
Y (0.5000, 0.0000, 0.0000)
Y (0.5000, 0.5000, 0.5000)
Y (0.7500, 0.2500, 0.2500)
Y (0.7500, 0.7500, 0.7500)
Hg (0.2500, 0.2500, 0.2500)
Hg (0.2500, 0.7500, 0.7500)
Hg (0.7500, 0.2500, 0.7500)
Hg (0.7500, 0.7500, 0.2500)

## Properties
M_tot: 0.0 μB per cell
formation energy: 0.11 eV per atom
DOS at the Fermi energy: 20.1 states/eV/cell
density: 6.4 g/cm3



Record 2
This record from Alexandria describes a relaxed structure of BaYHg. The functional is PBE-GGA.

Cell: 3.9747 3.9747 8.1617 Å, 90.00 90.00 120.00°
Positions (direct):
Ba (0.0000, 0.0000, 0.0000)
Y (0.6667, 0.3333, 0.5849)
Hg (0.3333, 0.6667, 0.3292)

## Properties
M_tot: 0.0 μB per cell
ΔE to the lowest computed polymorph: 0.1594 eV/atom
formation energy: -0.10 eV per atom
DOS at the Fermi energy: 3.1 states/eV/cell
density: 6.3 g/cm3



Record 3
This record from Alexandria describes a relaxed structure of BaY2Hg. The functional is PBE-GGA.

Cell: 4.9898 4.9898 10.5201 Å, 90.00 90.00 90.00°
Positions (direct):
Ba (0.0000, 0.0000, 0.0000)
Ba (0.5000, 0.5000, 0.5000)
Y (0.0000, 0.5000, 0.2500)
Y (0.0000, 0.5000, 0.7500)
Y (0.5000, 0.0000, 0.2500)
Y (0.5000, 0.0000, 0.7500)
Hg (0.0000, 0.0000, 0.5000)
Hg (0.5000, 0.5000, 0.0000)

## Properties
M_tot: 0.0 μB per cell
formation energy: 0.11 eV per atom
DOS at the Fermi energy: 12.9 states/eV/cell
density: 6.5 g/cm3



Record 4
This record from Alexandria describes a relaxed structure of BaYHg2. The functional is PBE-GGA.

Cell: 4.7029 4.7029 11.3201 Å, 90.00 90.00 90.00°
Positions (direct):
Ba (0.0000, 0.0000, 0.0000)
Ba (0.5000, 0.5000, 0.5000)
Y (0.0000, 0.5000, 0.2500)
Y (0.5000, 0.0000, 0.7500)
Hg (0.0000, 0.0000, 0.5000)
Hg (0.0000, 0.5000, 0.7500)
Hg (0.5000, 0.0000, 0.2500)
Hg (0.5000, 0.5000, 0.0000)

## Properties
M_tot: 0.0 μB per cell
formation energy: -0.19 eV per atom
DOS at the Fermi energy: 10.8 states/eV/cell
density: 8.3 g/cm3



Record 5
This record from Alexandria describes a relaxed structure of BaYHg2. The functional is PBE-GGA.

Cell: 5.2239 5.2239 17.1828 Å, 90.00 90.00 120.00°
Positions (direct):
Ba (0.0000, 0.0000, 0.0000)
Ba (0.3333, 0.6667, 0.6667)
Ba (0.6667, 0.3333, 0.3333)
Y (0.0000, 0.0000, 0.5000)
Y (0.3333, 0.6667, 0.1667)
Y (0.6667, 0.3333, 0.8333)
Hg (0.0000, 0.0000, 0.2114)
Hg (0.0000, 0.0000, 0.7886)
Hg (0.3333, 0.6667, 0.4552)
Hg (0.3333, 0.6667, 0.8781)
Hg (0.6667, 0.3333, 0.1219)
Hg (0.6667, 0.3333, 0.5448)

## Properties
M_tot: 0.0 μB per cell
formation energy: -0.37 eV per atom
DOS at the Fermi energy: 17.4 states/eV/cell
density: 7.7 g/cm3



Record 6
This record from Alexandria describes a relaxed structure of BaYHg. The functional is PBE-GGA.

Cell: 7.7728 7.7728 7.7728 Å, 90.00 90.00 90.00°
Positions (direct):
Ba (0.0000, 0.0000, 0.0000)
Ba (0.0000, 0.5000, 0.5000)
Ba (0.5000, 0.0000, 0.5000)
Ba (0.5000, 0.5000, 0.0000)
Y (0.0000, 0.0000, 0.5000)
Y (0.0000, 0.5000, 0.0000)
Y (0.5000, 0.0000, 0.0000)
Y (0.5000, 0.5000, 0.5000)
Hg (0.2500, 0.2500, 0.2500)
Hg (0.2500, 0.7500, 0.7500)
Hg (0.7500, 0.2500, 0.7500)
Hg (0.7500, 0.7500, 0.2500)

## Properties
M_tot: 0.0 μB per cell
ΔE to the lowest computed polymorph: 0.2622 eV/atom
formation energy: 0.00 eV per atom
DOS at the Fermi energy: 18.0 states/eV/cell
density: 6.0 g/cm3



Record 7
This record from Alexandria describes a relaxed structure of BaYHg2. The functional is PBE-GGA.

Cell: 3.8947 3.8947 8.1014 Å, 90.00 90.00 90.00°
Positions (direct):
Ba (0.0000, 0.0000, 0.0000)
Y (0.0000, 0.0000, 0.5000)
Hg (0.5000, 0.5000, 0.2952)
Hg (0.5000, 0.5000, 0.7048)

## Properties
M_tot: 0.0 μB per cell
formation energy: -0.48 eV per atom
DOS at the Fermi energy: 2.9 states/eV/cell
density: 8.5 g/cm3



Record 8
This record from Alexandria describes a relaxed structure of Ba2YHg. The functional is PBE-GGA.

Cell: 6.1688 6.1688 4.1750 Å, 90.00 90.00 90.00°
Positions (direct):
Ba (0.0000, 0.5000, 0.0000)
Ba (0.5000, 0.0000, 0.0000)
Y (0.0000, 0.0000, 0.5000)
Hg (0.5000, 0.5000, 0.5000)

## Properties
M_tot: 0.0 μB per cell
formation energy: -0.01 eV per atom
DOS at the Fermi energy: 4.2 states/eV/cell
density: 5.9 g/cm3



Record 9
This record from Alexandria describes a relaxed structure of Ba2YHg. The functional is PBE-GGA.

Cell: 14.4401 4.0497 6.2421 Å, 90.00 115.55 90.00°
Positions (direct):
Ba (0.0000, 0.0000, 0.0000)
Ba (0.2010, 0.0000, 0.7004)
Ba (0.5000, 0.5000, 0.0000)
Ba (0.7010, 0.5000, 0.7004)
Y (0.2950, 0.5000, 0.2942)
Y (0.7950, 0.0000, 0.2942)
Hg (0.4718, 0.0000, 0.4724)
Hg (0.9718, 0.5000, 0.4724)

## Properties
M_tot: 0.0 μB per cell
formation energy: -0.13 eV per atom
DOS at the Fermi energy: 11.2 states/eV/cell
density: 5.7 g/cm3



Record 10
This record from Alexandria describes a relaxed structure of Ba2YHg. The functional is PBE-GGA.

Cell: 5.2288 5.2288 11.0518 Å, 90.00 90.00 90.00°
Positions (direct):
Ba (0.0000, 0.5000, 0.2500)
Ba (0.0000, 0.5000, 0.7500)
Ba (0.5000, 0.0000, 0.2500)
Ba (0.5000, 0.0000, 0.7500)
Y (0.0000, 0.0000, 0.0000)
Y (0.5000, 0.5000, 0.5000)
Hg (0.0000, 0.0000, 0.5000)
Hg (0.5000, 0.5000, 0.0000)

## Properties
M_tot: 0.0 μB per cell
formation energy: 0.07 eV per atom
DOS at the Fermi energy: 15.0 states/eV/cell
density: 6.2 g/cm3



Record 11
This record from Alexandria describes a relaxed structure of BaZn2Hg8. The functional is PBE-GGA.

Cell: 6.4507 6.4507 8.8035 Å, 90.00 90.00 90.00°
Positions (direct):
Ba (0.0000, 0.0000, 0.0000)
Zn (0.0000, 0.5000, 0.5000)
Zn (0.5000, 0.0000, 0.5000)
Hg (0.2579, 0.2579, 0.2945)
Hg (0.2579, 0.2579, 0.7055)
Hg (0.2579, 0.7421, 0.2945)
Hg (0.2579, 0.7421, 0.7055)
Hg (0.7421, 0.2579, 0.2945)
Hg (0.7421, 0.2579, 0.7055)
Hg (0.7421, 0.7421, 0.2945)
Hg (0.7421, 0.7421, 0.7055)

## Properties
M_tot: 0.0 μB per cell
ΔE to the lowest computed polymorph: 0.0000 eV/atom
formation energy: -0.03 eV per atom
DOS at the Fermi energy: 4.4 states/eV/cell
density: 8.5 g/cm3



Record 12
This record from Alexandria describes a relaxed structure of Ba2ZnHg. The functional is PBE-GGA.

Cell: 4.1615 4.1615 8.3165 Å, 90.00 90.00 90.00°
Positions (direct):
Ba (0.0000, 0.0000, 0.2441)
Ba (0.0000, 0.0000, 0.7559)
Zn (0.5000, 0.5000, 0.0000)
Hg (0.5000, 0.5000, 0.5000)

## Properties
M_tot: 0.0 μB per cell
formation energy: -0.34 eV per atom
DOS at the Fermi energy: 3.8 states/eV/cell
density: 6.2 g/cm3